A plane-wave DFT calculation with PBE was carried out for crystalline KCO3 at its relaxed geometry.

abc: 4.539 4.539 4.539
angles: 90.00 90.00 90.00
Sites, in units of the cell vectors:
K (0.000, 0.000, 0.000)
C (0.500, 0.500, 0.500)
O (0.000, 0.000, 0.500)
O (0.000, 0.500, 0.000)
O (0.500, 0.000, 0.000)

- volume (Å³ per cell) = 93.5
- raw formation energy (eV per atom) = 2.435
- total magnetization (Bohr magnetons per cell) = 3.0